The following is a PBE calculation of crystalline Ho2Al3Zn4Cd at its relaxed geometry, from Alexandria.

Cell: 4.203 4.203 10.859 Å, 90.00 90.00 90.00°
Element x y z (fractional)
1 Ho 0.500 0.000 0.238
2 Ho 0.000 0.500 0.762
3 Al 0.000 0.000 0.500
4 Al 0.500 0.000 0.868
5 Al 0.000 0.500 0.132
6 Zn 0.500 0.500 0.000
7 Zn 0.000 0.000 0.000
8 Zn 0.500 0.000 0.647
9 Zn 0.000 0.500 0.353
10 Cd 0.500 0.500 0.500

Computed properties:
For the size of the total moment, the calculation gives 0.0 μB per formula unit. The value obtained for the density is 6.79 g/cm³. Its volume is 191.85 Å³/cell. As for the total energy: -2.94 eV per atom.